VASP calculation (PBE with a Hubbard U) on a relaxed structure of Fe3SeF.

The value obtained for the density of states at the Fermi level is 1.10 states/eV/f.u. The calculation puts the raw total energy at -3.730 eV per atom. The calculation puts the magnetic moment at 9.01 μB per cell.

a = 4.5745 Å, b = 4.5745 Å, c = 4.5745 Å
α = 90.00°, β = 90.00°, γ = 90.00°
Space group Pm-3m (No. 221)
Asymmetric unit:
Fe 0.0000 0.0000 0.5000 (multiplicity 3)
Se 0.0000 0.0000 0.0000 (multiplicity 1)
F 0.5000 0.5000 0.5000 (multiplicity 1)